Computed, not measured: a geometry-optimized ZrAg2Te structure at the PBE level of DFT.

```
ZrAg2Te
1.0
4.153 0.000 0.000
0.000 4.153 0.000
0.000 0.000 4.882
Zr Ag Te
1 2 1
direct
0.000 0.000 0.000
0.000 0.500 0.500
0.500 0.000 0.500
0.500 0.500 0.000
```

Computed properties:
The uncorrected formation energy is -0.12 eV/atom. As for the density: 8.6 g cm⁻³. As for the total magnetization: 0.0 μB per formula unit. Its space group is P4/mmm, No. 123. As for the relative energy among the computed polymorphs: 0.366 eV/f.u.